Entry 1:
The following is a DFT calculation (PBE) of a relaxed structure of CaTl2TcO6.

Results
DOS(E_F) = 0.316 states/eV per atom
space group = P-3m1 (164)
M_tot = 0.00 μB per cell
V = 20.6 Å³/atom
formation energy without anion corrections = -1.289 eV per atom
E = -5.9739 eV per atom

a = 5.9678 Å, b = 6.3076 Å, c = 6.3076 Å
α = 120.00°, β = 90.00°, γ = 90.00°
With the nearest neighbours (Å) after each atom.
Fractional coordinates of all 10 atoms:
Tl 0.9835 0.3333 0.6667  3 O 2.36
O 0.8072 0.7202 0.8601  1 Tc 1.91
Tl 0.0165 0.6667 0.3333  3 O 2.36
Tc 0.0000 0.0000 0.0000  6 O 1.91
O 0.1928 0.8601 0.1399  1 Tc 1.91
O 0.8072 0.1399 0.2798  1 Tc 1.91
Ca 0.5000 0.0000 0.0000  6 O 2.39
O 0.8072 0.1399 0.8601  1 Tc 1.91
O 0.1928 0.2798 0.1399  1 Tc 1.91
O 0.1928 0.8601 0.7202  1 Tc 1.91

Entry 2:
The following is a DFT calculation (PBE) of a relaxed structure of SrScFe2.

Results
DOS(E_F) = 0.940 states/eV per atom
space group = R3m (160)
M_tot = 3.13 μB per cell
ΔH_f (0 K) = 0.18 eV per atom
V = 23.8 Å³/atom
E = -6.0537 eV per atom

a = 3.9523 Å, b = 3.9523 Å, c = 7.3922 Å
α = 74.44°, β = 74.44°, γ = 60.00°
With the nearest neighbours (Å) after each atom.
Fractional coordinates of all 4 atoms:
Fe 0.9488 0.9488 0.1534  3 Fe 2.28
Sc 0.5451 0.5451 0.3641  6 Fe 2.72-2.73
Fe 0.2830 0.2830 0.1508  3 Fe 2.28
Sr 0.7231 0.7231 0.8317  6 Fe 3.20-3.21

Entry 3:
The following is a DFT calculation (PBE) of a relaxed structure of Rb3PaAs2O8.

Results
DOS(E_F) = 0.397 states/eV per atom
space group = P-3m1 (164)
M_tot = 0.00 μB per cell
V = 19.7 Å³/atom
formation energy without anion corrections = -1.913 eV per atom
E = -6.2959 eV per atom

a = 6.2415 Å, b = 6.2415 Å, c = 8.1874 Å
α = 90.00°, β = 90.00°, γ = 120.00°
With the nearest neighbours (Å) after each atom.
Fractional coordinates of all 14 atoms:
O 0.3333 0.6667 0.0790  1 As 1.70
Rb 0.6667 0.3333 0.2465  1 O 2.67
Rb 0.0000 0.0000 0.0000  12 O 3.27-3.66
O 0.1614 0.3228 0.3376  1 As 1.91
O 0.8386 0.6772 0.6624  1 As 1.91
As 0.3333 0.6667 0.2865  1 O 1.70
O 0.8386 0.1614 0.6624  1 As 1.91
O 0.6667 0.3333 0.9210  1 As 1.70
O 0.3228 0.1614 0.6624  1 As 1.91
O 0.6772 0.8386 0.3376  1 As 1.91
As 0.6667 0.3333 0.7135  1 O 1.70
Rb 0.3333 0.6667 0.7535  1 O 2.67
O 0.1614 0.8386 0.3376  1 As 1.91
Pa 0.0000 0.0000 0.5000  6 O 2.19

Entry 4:
The following is a DFT calculation (PBE) of a relaxed structure of CeHo3Th4S8.

Results
DOS(E_F) = 0.552 states/eV per atom
space group = R-3m (166)
M_tot = 0.51 μB per cell
V = 22.3 Å³/atom
formation energy without anion corrections = -1.916 eV per atom
E = -7.0634 eV per atom

a = 7.8364 Å, b = 8.0873 Å, c = 7.8358 Å
α = 118.97°, β = 120.00°, γ = 90.00°
With the nearest neighbours (Å) after each atom.
Fractional coordinates of all 16 atoms:
Th 0.0000 0.0000 0.5000  6 S 2.89
S 0.2605 0.2638 0.0122  2 Ho 2.75, 1 Ce 2.79, 3 Th 2.84-2.89
S 0.7517 0.2638 0.0122  2 Ho 2.75, 1 Ce 2.79, 3 Th 2.84-2.89
Th 0.0000 0.0000 0.0000  6 S 2.89
S 0.7441 0.7322 0.4882  3 Ho 2.75, 3 Th 2.89
Th 0.5000 0.0000 0.0000  6 S 2.84
Ho 0.5000 0.5000 0.5000  6 S 2.75
Ho 0.0000 0.5000 0.5000  6 S 2.75
S 0.7395 0.7362 0.9878  2 Ho 2.75, 1 Ce 2.79, 3 Th 2.84-2.89
Ce 0.0000 0.5000 0.0000  6 S 2.79
S 0.2559 0.2678 0.5118  3 Ho 2.75, 3 Th 2.89
S 0.2483 0.7362 0.9878  2 Ho 2.75, 1 Ce 2.79, 3 Th 2.84-2.89
Th 0.5000 0.0000 0.5000  6 S 2.89
S 0.2483 0.7362 0.4967  2 Ho 2.75, 1 Ce 2.79, 3 Th 2.84-2.89
S 0.7517 0.2638 0.5033  2 Ho 2.75, 1 Ce 2.79, 3 Th 2.84-2.89
Ho 0.5000 0.5000 0.0000  6 S 2.75

Entry 5:
The following is a DFT calculation (PBE) of a relaxed structure of V2FeN.

Results
DOS(E_F) = 0.954 states/eV per atom
space group = R-3m (166)
M_tot = 1.46 μB per cell
V = 10.9 Å³/atom
formation energy without anion corrections = -0.556 eV per atom
E = -9.3121 eV per atom

a = 2.8267 Å, b = 2.8267 Å, c = 6.5340 Å
α = 77.51°, β = 77.51°, γ = 60.00°
With the nearest neighbours (Å) after each atom.
Fractional coordinates of all 4 atoms:
V 0.2733 0.2733 0.1802  3 N 1.99
N 0.0000 0.0000 0.0000  6 V 1.99
Fe 0.5000 0.5000 0.5000  6 V 2.60, 6 Fe 2.83
V 0.7267 0.7267 0.8198  3 N 1.99

Entry 6:
The following is a DFT calculation (PBE) of a relaxed structure of Al2TlAg.

Results
DOS(E_F) = 0.300 states/eV per atom
space group = R-3m (166)
M_tot = 0.00 μB per cell
ΔH_f (0 K) = 0.18 eV per atom
V = 20.3 Å³/atom
E = -3.0004 eV per atom

a = 9.4243 Å, b = 9.4243 Å, c = 9.4243 Å
α = 19.48°, β = 19.48°, γ = 19.48°
With the nearest neighbours (Å) after each atom.
Fractional coordinates of all 4 atoms:
Al 0.0081 0.0081 0.0081  3 Ag 2.78
Ag 0.7500 0.7500 0.7500  6 Al 2.78
Al 0.4919 0.4919 0.4919  3 Ag 2.78
Tl 0.2500 0.2500 0.2500  6 Al 3.13, 6 Tl 3.19

Entry 7:
The following is a DFT calculation (PBE) of a relaxed structure of Dy6Bi2TeAs3.

Results
DOS(E_F) = 0.192 states/eV per atom
space group = C2/m (12)
M_tot = 0.00 μB per cell
V = 27.6 Å³/atom
formation energy without anion corrections = -1.290 eV per atom
E = -5.6621 eV per atom

a = 4.2501 Å, b = 8.6065 Å, c = 9.5877 Å
α = 103.91°, β = 102.81°, γ = 90.00°
With the nearest neighbours (Å) after each atom.
Fractional coordinates of all 12 atoms:
Te 0.5000 0.0000 0.0000  6 Dy 3.13-3.14
As 0.8342 0.1661 0.6684  6 Dy 2.91-2.93
Dy 0.3387 0.4035 0.6774  3 As 2.92-2.93, 3 Bi 3.13
As 0.5000 0.5000 0.0000  6 Dy 2.91-2.92
Bi 0.8337 0.6677 0.6674  6 Dy 3.12-3.13
Dy 0.3275 0.9300 0.6550  3 As 2.92-2.93, 2 Bi 3.12, 1 Te 3.13
Dy 0.9947 0.2662 0.9895  3 As 2.91, 1 Bi 3.12, 2 Te 3.14
As 0.1658 0.8339 0.3316  6 Dy 2.91-2.93
Bi 0.1663 0.3323 0.3326  6 Dy 3.12-3.13
Dy 0.6613 0.5965 0.3226  3 As 2.92-2.93, 3 Bi 3.13
Dy 0.0053 0.7338 0.0105  3 As 2.91, 1 Bi 3.12, 2 Te 3.14
Dy 0.6725 0.0700 0.3450  3 As 2.92-2.93, 2 Bi 3.12, 1 Te 3.13

Entry 8:
The following is a DFT calculation (PBE) of a relaxed structure of YSiTc.

Results
DOS(E_F) = 2.335 states/eV per atom
space group = F-43m (216)
M_tot = 0.83 μB per cell
V = 22.8 Å³/atom
formation energy without anion corrections = 0.990 eV per atom
distance to the lowest polymorph of the same formula = 1586 meV/atom
E = -6.4280 eV per atom

a = 4.5912 Å, b = 4.5912 Å, c = 4.5912 Å
α = 60.00°, β = 60.00°, γ = 60.00°
With the nearest neighbours (Å) after each atom.
Fractional coordinates of all 3 atoms:
Y 0.7500 0.7500 0.7500  4 Tc 2.81, 4 Si 2.81
Si 0.0000 0.0000 0.0000  4 Y 2.81
Tc 0.5000 0.5000 0.5000  4 Y 2.81

Entry 9:
The following is a DFT calculation (PBE) of a relaxed structure of NdAlPd.

Results
DOS(E_F) = 0.763 states/eV per atom
space group = P-62m (189)
M_tot = 0.00 μB per cell
ΔH_f (0 K) = -0.80 eV per atom
V = 21.4 Å³/atom
E = -5.3672 eV per atom

a = 7.2198 Å, b = 7.2198 Å, c = 4.2604 Å
α = 90.00°, β = 90.00°, γ = 120.00°
With the nearest neighbours (Å) after each atom.
Fractional coordinates of all 9 atoms:
Pd 0.0000 0.0000 0.0000  6 Al 2.70
Nd 0.4196 0.4196 0.0000  5 Pd 3.03-3.04, 6 Al 3.31-3.38
Pd 0.3333 0.6667 0.5000  3 Al 2.86, 6 Nd 3.04
Al 0.2295 0.0000 0.5000  4 Pd 2.70-2.86, 2 Al 2.87
Pd 0.6667 0.3333 0.5000  3 Al 2.86, 6 Nd 3.04
Nd 0.0000 0.5804 0.0000  5 Pd 3.03-3.04, 6 Al 3.31-3.38
Al 0.0000 0.2295 0.5000  4 Pd 2.70-2.86, 2 Al 2.87
Nd 0.5804 0.0000 0.0000  5 Pd 3.03-3.04, 6 Al 3.31-3.38
Al 0.7705 0.7705 0.5000  4 Pd 2.70-2.86, 2 Al 2.87

Entry 10:
The following is a DFT calculation (PBE) of a relaxed structure of SmDyHo4S8.

Results
DOS(E_F) = 0.610 states/eV per atom
space group = R3m (160)
M_tot = 0.00 μB per cell
V = 26.4 Å³/atom
formation energy without anion corrections = -1.928 eV per atom
E = -6.2600 eV per atom

a = 8.0487 Å, b = 8.0487 Å, c = 8.0541 Å
α = 60.02°, β = 60.02°, γ = 60.00°
With the nearest neighbours (Å) after each atom.
Fractional coordinates of all 14 atoms:
Dy 0.9995 0.9995 0.0016  6 S 2.75-2.77
S 0.7562 0.7562 0.2584  3 Ho 2.60-2.76, 1 Dy 2.77
Sm 0.3748 0.3748 0.8755  4 S 2.66-2.67
S 0.2407 0.2407 0.7385  1 Sm 2.66, 2 Ho 2.74, 1 Dy 2.75
S 0.7573 0.7573 0.7281  4 Ho 2.61-2.76
S 0.2407 0.7801 0.7385  1 Sm 2.66, 2 Ho 2.74, 1 Dy 2.75
Ho 0.9995 0.5015 0.4994  6 S 2.74-2.76
S 0.7801 0.2407 0.7385  1 Sm 2.66, 2 Ho 2.74, 1 Dy 2.75
S 0.2396 0.2396 0.2811  1 Sm 2.67, 3 Ho 2.74
Ho 0.6251 0.6251 0.1246  4 S 2.60-2.61
Ho 0.9995 0.9995 0.4994  6 S 2.74-2.76
S 0.2291 0.7562 0.2584  3 Ho 2.60-2.76, 1 Dy 2.77
Ho 0.5015 0.9995 0.4994  6 S 2.74-2.76
S 0.7562 0.2291 0.2584  3 Ho 2.60-2.76, 1 Dy 2.77